# 1
DFT (PBE) results for a relaxed HgSb3H crystal.

a b c (Å): 5.640 5.640 5.640
angles (deg): 90.00 90.00 90.00
Space group Pm-3m (No. 221)
Unique sites:
Hg (0.000, 0.000, 0.000) x1
Sb (0.000, 0.000, 0.500) x3
H (0.500, 0.500, 0.500) x1

Computed properties:
- electronic total energy (eV/atom) = -1.975
- energy above the most stable polymorph in this dataset (eV/atom) = 0.778

***

# 2
DFT (PBE) results for a relaxed GdTm2Cd crystal.

a b c (Å): 7.628 7.628 7.628
angles (deg): 90.00 90.00 90.00
Space group Fm-3m (No. 225)
Unique sites:
Gd (0.000, 0.000, 0.000) x4
Tm (0.250, 0.250, 0.250) x8
Cd (0.000, 0.000, 0.500) x4

Computed properties:
- ΔH_f (0 K) (eV/atom) = 0.001
- electronic total energy (eV/atom) = -5.984
- energy above the most stable polymorph in this dataset (eV/atom) = 0.137

***

# 3
DFT (PBE) results for a relaxed ScCoC2Se crystal.

a b c (Å): 3.732 3.732 4.985
angles (deg): 90.00 90.00 90.00
Space group P4/mmm (No. 123)
Unique sites:
Sc (0.000, 0.000, 0.000) x1
Co (0.500, 0.500, 0.500) x1
C (0.000, 0.500, 0.500) x2
Se (0.500, 0.500, 0.000) x1

Computed properties:
- formation energy (no corrections) (kJ/mol of formula units) = 351
- electronic total energy (eV/atom) = -6.347